1.
Here is a relaxed structure of PrNd2In3Pt2Au from the Open Quantum Materials Database. Energies are from GGA-PBE.

Calculated total energy in eV/atom: -5.09
Symmetry: Amm2, No. 38
Crystal system: orthorhombic

Cell: 4.052 7.831 7.831 Å, 120.03 90.00 90.00°
Element x y z (fractional)
1 Pr 0.000 0.412 0.412
2 Nd 0.000 0.588 0.000
3 Au 0.000 0.999 0.999
4 Pt 0.500 0.668 0.333
5 Nd 0.000 0.000 0.588
6 Pt 0.500 0.333 0.668
7 In 0.500 0.999 0.260
8 In 0.500 0.260 0.999
9 In 0.500 0.740 0.740



2.
Here is a relaxed structure of NdIn2PtAu from the Open Quantum Materials Database. Energies are from GGA-PBE.

Calculated total energy in eV/atom: -4.53
Symmetry: P4/nmm, No. 129
Crystal system: tetragonal

Cell: 4.518 4.518 11.361 Å, 90.00 90.00 90.00°
Element x y z (fractional)
1 Pt 0.000 0.500 0.634
2 Au 0.500 0.500 0.000
3 In 0.000 0.000 0.500
4 Pt 0.500 0.000 0.366
5 In 0.000 0.500 0.862
6 In 0.500 0.500 0.500
7 Au 0.000 0.000 0.000
8 In 0.500 0.000 0.138
9 Nd 0.500 0.000 0.740
10 Nd 0.000 0.500 0.260



3.
Here is a relaxed structure of Nd3In3Pt2Au from the Open Quantum Materials Database. Energies are from GGA-PBE.

Calculated total energy in eV/atom: -5.09
Symmetry: P-62m, No. 189
Crystal system: hexagonal

Cell: 7.813 7.813 4.053 Å, 90.00 90.00 120.00°
Element x y z (fractional)
1 In 0.740 0.740 0.500
2 Nd 0.000 0.586 0.000
3 Nd 0.586 0.000 0.000
4 In 0.260 0.000 0.500
5 Pt 0.333 0.667 0.500
6 Pt 0.667 0.333 0.500
7 Nd 0.414 0.414 0.000
8 Au 0.000 0.000 0.000
9 In 0.000 0.260 0.500



4.
Here is a relaxed structure of TbNd2In3Pt2Au from the Open Quantum Materials Database. Energies are from GGA-PBE.

Calculated total energy in eV/atom: -5.08
Symmetry: Amm2, No. 38
Crystal system: orthorhombic

Cell: 3.994 7.780 7.780 Å, 119.81 90.00 90.00°
Element x y z (fractional)
1 In 0.500 0.998 0.736
2 In 0.500 0.736 0.998
3 In 0.500 0.264 0.264
4 Nd 0.000 0.001 0.410
5 Pt 0.500 0.665 0.339
6 Nd 0.000 0.410 0.001
7 Tb 0.000 0.590 0.590
8 Pt 0.500 0.339 0.665
9 Au 0.000 0.997 0.997